UZnGaNi: relaxed, PBE-GGA.

Cell: 6.4679 6.4679 6.4679 Å, 90.00 90.00 90.00°
Space group F-43m (No. 216)
Inequivalent atoms, fractional coordinates:
1 U 0.0000 0.0000 0.0000 (multiplicity 4)
2 Zn 0.2500 0.2500 0.2500 (multiplicity 4)
3 Ga 0.0000 0.0000 0.5000 (multiplicity 4)
4 Ni 0.2500 0.2500 0.7500 (multiplicity 4)

Output
ΔE_f ... -48 meV/atom